A plane-wave DFT calculation with PBE-GGA was carried out for a geometry-optimized BaI2NO structure.

a b c (Å): 4.8299 4.8299 5.3140
angles (deg): 90.00 90.00 90.00
Site moments in Bohr magnetons follow the coordinates.
Atoms (fractional coordinates):
O: 0.0000 0.0000 0.5000  -0.52
I: 0.0000 0.5000 0.0000  0.00
I: 0.5000 0.0000 0.0000  0.00
Ba: 0.5000 0.5000 0.5000  0.01
N: 0.0000 0.0000 0.0000  0.26

raw formation energy: 0.76 eV/f.u.
volume: 24.8 A^3/atom
total magnetization: 0.246 Bohr magnetons per cell
space group: P4/mmm, No. 123

A plane-wave DFT calculation with PBE-GGA was carried out for a geometry-optimized B2C structure.

a b c (Å): 2.5498 4.1553 8.2530
angles (deg): 94.38 90.00 90.00
Atoms (fractional coordinates):
B: 0.5000 0.8206 0.2721
B: 0.0000 0.1832 0.5083
B: 0.0000 0.0609 0.9798
B: 0.5000 0.7782 0.0162
B: 0.5000 0.4943 0.8263
B: 0.5000 0.4796 0.5552
B: 0.5000 0.4739 0.1344
B: 0.0000 0.2177 0.1947
C: 0.0000 0.9857 0.6786
C: 0.5000 0.7753 0.6741
C: 0.0000 0.2428 0.8244
C: 0.0000 0.9879 0.3361

volume: 7.3 A^3/atom
total magnetization: 0.000 Bohr magnetons per cell
energy of formation from the pure elements: 0.450 eV per atom
space group: Pm, No. 6